No. 1
Density functional theory data (PBE-GGA) for a geometry-optimized Li5Mg3Cd3 structure.

Lattice parameters (Å, degrees): 3.0379 9.7888 9.7888 120.00 90.00 90.00
Closest atoms and distances in Å follow each position.
Positions (direct):
Mg 0.5000 0.1752 0.1752  2 Li 2.86, 2 Cd 2.89, 4 Mg 2.97-3.04
Mg 0.5000 0.0000 0.8248  2 Li 2.86, 2 Cd 2.89, 4 Mg 2.97-3.04
Mg 0.5000 0.8248 0.0000  2 Li 2.86, 2 Cd 2.89, 4 Mg 2.97-3.04
Cd 0.0000 0.0000 0.5735  2 Li 2.77, 2 Mg 2.89, 2 Cd 3.04
Cd 0.0000 0.4265 0.4265  2 Li 2.77, 2 Mg 2.89, 2 Cd 3.04
Cd 0.0000 0.5735 0.0000  2 Li 2.77, 2 Mg 2.89, 2 Cd 3.04
Li 0.5000 0.6626 0.6626  2 Cd 2.77, 2 Mg 2.86, 2 Li 3.04
Li 0.5000 0.6667 0.3333  5 Li 3.04-3.24, 6 Cd 3.29
Li 0.5000 0.3374 0.0000  2 Cd 2.77, 2 Mg 2.86, 2 Li 3.04
Li 0.5000 0.0000 0.3374  2 Cd 2.77, 2 Mg 2.86, 2 Li 3.04
Li 0.5000 0.3333 0.6667  5 Li 3.04-3.24, 6 Cd 3.29

Computed properties:
As for the energy above the most stable polymorph in this dataset: 0.000 eV/f.u. The value obtained for the volume is 252 Å³ per cell. The calculated formation energy is 28.5 kJ/mol of formula units.

=====

No. 2
Density functional theory data (PBE-GGA) for a geometry-optimized Li7MgCd3 structure.

Lattice parameters (Å, degrees): 5.0787 7.1157 7.1157 90.10 109.70 109.70
Closest atoms and distances in Å follow each position.
Positions (direct):
Li 0.8377 0.8264 0.8264  4 Cd 2.81-2.97, 1 Mg 2.89, 3 Li 3.06-3.07
Li 0.0000 0.5000 0.5000  2 Mg 2.54, 2 Cd 2.68
Li 0.3261 0.5984 0.0529  4 Cd 2.76-3.01, 4 Li 2.87-3.08
Li 0.6739 0.9471 0.4016  4 Cd 2.76-3.01, 4 Li 2.87-3.08
Li 0.3261 0.0529 0.5984  4 Cd 2.76-3.01, 4 Li 2.87-3.08
Li 0.6739 0.4016 0.9471  4 Cd 2.76-3.01, 4 Li 2.87-3.08
Li 0.1623 0.1736 0.1736  4 Cd 2.81-2.97, 1 Mg 2.89, 3 Li 3.06-3.07
Cd 0.0000 0.2339 0.7661  7 Li 2.68-2.93
Cd 0.0000 0.7661 0.2339  7 Li 2.68-2.93
Cd 0.5000 0.0000 0.0000  8 Li 2.76-2.97
Mg 0.5000 0.5000 0.5000  2 Li 2.54

Computed properties:
As for the energy above the most stable polymorph in this dataset: 0.595 eV/f.u. The value obtained for the volume is 226 Å³ per cell. The calculated formation energy is -53.7 kJ/mol of formula units.

=====

No. 3
Density functional theory data (PBE-GGA) for a geometry-optimized Li5MgCd structure.

Lattice parameters (Å, degrees): 4.7059 4.7059 6.8435 90.00 90.00 90.06
Closest atoms and distances in Å follow each position.
Positions (direct):
Li 0.5000 0.0000 0.2560  2 Cd 2.89, 2 Li 2.89, 2 Mg 2.93
Li 0.0000 0.5000 0.7440  2 Cd 2.89, 2 Li 2.89, 2 Mg 2.93
Li 0.0000 0.0000 0.5000  8 Li 2.89
Li 0.5000 0.0000 0.7440  2 Cd 2.89, 2 Li 2.89, 2 Mg 2.93
Li 0.0000 0.5000 0.2560  2 Cd 2.89, 2 Li 2.89, 2 Mg 2.93
Mg 0.0000 0.0000 0.0000  8 Li 2.93
Cd 0.5000 0.5000 0.5000  8 Li 2.89

Computed properties:
As for the energy above the most stable polymorph in this dataset: 0.347 eV/f.u. The value obtained for the volume is 152 Å³ per cell. The calculated formation energy is 5.4 kJ/mol of formula units.

=====

No. 4
Density functional theory data (PBE-GGA) for a geometry-optimized Li2Mg3Cd6 structure.

Lattice parameters (Å, degrees): 4.7192 4.7192 11.6893 101.65 101.65 90.00
Closest atoms and distances in Å follow each position.
Positions (direct):
Mg 0.0000 0.0000 0.0000  8 Cd 3.26, 8 Li 3.53
Mg 0.1906 0.1906 0.3812  5 Cd 2.81-3.10
Mg 0.8094 0.8094 0.6188  5 Cd 2.81-3.10
Cd 0.1006 0.6006 0.2013  2 Li 2.61
Cd 0.3158 0.3158 0.6316  1 Mg 2.81, 1 Li 2.99, 4 Cd 3.01
Cd 0.6842 0.6842 0.3684  1 Mg 2.81, 1 Li 2.99, 4 Cd 3.01
Cd 0.3994 0.8994 0.7987  2 Li 2.61
Cd 0.6006 0.1006 0.2013  2 Li 2.61
Cd 0.8994 0.3994 0.7987  2 Li 2.61
Li 0.4493 0.4493 0.8985  1 Li 2.27
Li 0.5507 0.5507 0.1015  1 Li 2.27

Computed properties:
The value obtained for the volume is 249 Å³ per cell. The calculated formation energy is 34.0 kJ/mol of formula units.

=====

No. 5
Density functional theory data (PBE-GGA) for a geometry-optimized Li5Mg3Cd2 structure.

Lattice parameters (Å, degrees): 4.7701 4.7783 10.1105 76.14 76.36 60.06
Closest atoms and distances in Å follow each position.
Positions (direct):
Cd 0.7023 0.7018 0.8936  8 Li 2.81-2.95
Cd 0.2977 0.2982 0.1064  8 Li 2.81-2.95
Li 0.2012 0.2021 0.3955  1 Cd 2.81, 7 Mg 2.91-2.95
Li 0.3954 0.3942 0.8150  4 Cd 2.83-2.86, 4 Mg 2.98-3.06
Li 0.7988 0.7979 0.6045  1 Cd 2.81, 7 Mg 2.91-2.95
Li 0.6046 0.6058 0.1850  4 Cd 2.83-2.86, 4 Mg 2.98-3.06
Li 0.0000 0.0000 0.0000  2 Mg 2.93, 6 Cd 2.94-2.95
Mg 0.1009 0.0991 0.6991  8 Li 2.91-2.98
Mg 0.5000 0.5000 0.5000  8 Li 2.94-3.06
Mg 0.8991 0.9009 0.3009  8 Li 2.91-2.98

Computed properties:
As for the energy above the most stable polymorph in this dataset: 0.000 eV/f.u. The value obtained for the volume is 192 Å³ per cell. The calculated formation energy is -139.3 kJ/mol of formula units.

=====

No. 6
Density functional theory data (PBE-GGA) for a geometry-optimized Li5MgCd4 structure.

Lattice parameters (Å, degrees): 3.3898 3.3898 16.1761 90.00 90.00 90.00
Closest atoms and distances in Å follow each position.
Positions (direct):
Li 0.5000 0.5000 0.1080  4 Cd 2.84, 4 Mg 2.97, 1 Li 3.13
Li 0.5000 0.5000 0.5000  8 Cd 2.89, 2 Li 3.21
Li 0.5000 0.5000 0.8920  4 Cd 2.84, 4 Mg 2.97, 1 Li 3.13
Li 0.5000 0.5000 0.3015  8 Cd 2.88-2.89, 2 Li 3.13-3.21
Li 0.5000 0.5000 0.6985  8 Cd 2.88-2.89, 2 Li 3.13-3.21
Cd 0.0000 0.0000 0.4002  8 Li 2.88-2.89, 1 Cd 3.20
Cd 0.0000 0.0000 0.7979  8 Li 2.84-2.89
Cd 0.0000 0.0000 0.5998  8 Li 2.88-2.89, 1 Cd 3.20
Cd 0.0000 0.0000 0.2021  8 Li 2.84-2.89
Mg 0.0000 0.0000 0.0000  8 Li 2.97, 2 Cd 3.27

Computed properties:
The value obtained for the volume is 186 Å³ per cell. The calculated formation energy is -210.3 kJ/mol of formula units.

=====

No. 7
Density functional theory data (PBE-GGA) for a geometry-optimized LiMgCd2Mo structure.

Lattice parameters (Å, degrees): 5.3739 4.9912 5.3739 90.00 90.00 90.00
Closest atoms and distances in Å follow each position.
Positions (direct):
Mg 0.5000 0.5000 0.5000  8 Cd 3.67, 4 Li 3.80
Li 0.0000 0.5000 0.0000  2 Mo 2.50
Cd 0.0000 0.0000 0.5000  2 Mo 2.69
Cd 0.5000 0.0000 0.0000  2 Mo 2.69
Mo 0.0000 0.0000 0.0000  2 Li 2.50, 4 Cd 2.69

Computed properties:
The value obtained for the volume is 144 Å³ per cell. The calculated formation energy is 491.3 kJ/mol of formula units.

=====

No. 8
Density functional theory data (PBE-GGA) for a geometry-optimized LiMg2CdN structure.

Lattice parameters (Å, degrees): 4.2752 4.2752 4.4087 90.00 90.00 90.00
Closest atoms and distances in Å follow each position.
Positions (direct):
Cd 0.5000 0.5000 0.5000  4 Li 3.02, 8 Mg 3.07
Mg 0.5000 0.0000 0.0000  2 N 2.14
Mg 0.0000 0.5000 0.0000  2 N 2.14
N 0.0000 0.0000 0.0000  4 Mg 2.14, 2 Li 2.20
Li 0.0000 0.0000 0.5000  2 N 2.20

Computed properties:
As for the energy: -15.9 eV for the cell shown. The value obtained for the volume is 81 Å³ per cell.

=====

No. 9
Density functional theory data (PBE-GGA) for a geometry-optimized LiNdMgCd structure.

Lattice parameters (Å, degrees): 5.1300 5.1300 5.1300 60.00 60.00 60.00
Closest atoms and distances in Å follow each position.
Positions (direct):
Nd 0.2500 0.2500 0.2500  4 Cd 3.14, 4 Li 3.14
Li 0.5000 0.5000 0.5000  4 Nd 3.14, 4 Mg 3.14
Mg 0.7500 0.7500 0.7500  4 Cd 3.14, 4 Li 3.14
Cd 0.0000 0.0000 0.0000  4 Nd 3.14, 4 Mg 3.14

Computed properties:
The value obtained for the volume is 95 Å³ per cell. The calculated formation energy is -87.0 kJ/mol of formula units.

=====

No. 10
Density functional theory data (PBE-GGA) for a geometry-optimized Li2NdMgCd5 structure.

Lattice parameters (Å, degrees): 5.0266 5.0266 7.8140 90.00 90.00 90.00
Closest atoms and distances in Å follow each position.
Positions (direct):
Cd 0.5000 0.0000 0.7654  2 Li 2.59
Cd 0.0000 0.5000 0.2346  2 Li 2.59
Cd 0.0000 0.5000 0.7654  2 Li 2.59
Cd 0.5000 0.5000 0.5000  2 Li 2.71
Cd 0.5000 0.0000 0.2346  2 Li 2.59
Li 0.5000 0.5000 0.8472  1 Li 2.39, 4 Cd 2.59
Li 0.5000 0.5000 0.1528  1 Li 2.39, 4 Cd 2.59
Nd 0.0000 0.0000 0.5000  12 Cd 3.26-3.55
Mg 0.0000 0.0000 0.0000  8 Cd 3.11

Computed properties:
The value obtained for the volume is 197 Å³ per cell. The calculated formation energy is -136.3 kJ/mol of formula units.

=====

No. 11
Density functional theory data (PBE-GGA) for a geometry-optimized Li2Nd2MgCd5 structure.

Lattice parameters (Å, degrees): 4.0468 10.6438 10.6438 90.00 90.00 90.00
Closest atoms and distances in Å follow each position.
Positions (direct):
Mg 0.0000 0.0000 0.0000  8 Cd 3.05
Mg 0.0000 0.5000 0.5000  8 Cd 3.05
Nd 0.0000 0.6813 0.1813  3 Li 3.05-3.24, 2 Cd 3.40
Nd 0.0000 0.8187 0.6813  3 Li 3.05-3.24, 2 Cd 3.40
Nd 0.0000 0.1813 0.3187  3 Li 3.05-3.24, 2 Cd 3.40
Nd 0.0000 0.3187 0.8187  3 Li 3.05-3.24, 2 Cd 3.40
Cd 0.5000 0.9420 0.2067  2 Li 2.83, 2 Mg 3.05
Cd 0.5000 0.2933 0.5580  2 Li 2.83, 2 Mg 3.05
Cd 0.5000 0.5580 0.7067  2 Li 2.83, 2 Mg 3.05
Cd 0.5000 0.7933 0.9420  2 Li 2.83, 2 Mg 3.05
Cd 0.5000 0.7067 0.4420  2 Li 2.83, 2 Mg 3.05
Cd 0.5000 0.2067 0.0580  2 Li 2.83, 2 Mg 3.05
Cd 0.5000 0.0000 0.5000  4 Li 2.68
Cd 0.5000 0.5000 0.0000  4 Li 2.68
Cd 0.5000 0.4420 0.2933  2 Li 2.83, 2 Mg 3.05
Cd 0.5000 0.0580 0.7933  2 Li 2.83, 2 Mg 3.05
Li 0.0000 0.1163 0.6163  6 Cd 2.68-2.83
Li 0.0000 0.3837 0.1163  6 Cd 2.68-2.83
Li 0.0000 0.8837 0.3837  6 Cd 2.68-2.83
Li 0.0000 0.6163 0.8837  6 Cd 2.68-2.83

Computed properties:
The value obtained for the volume is 458 Å³ per cell. The calculated formation energy is -243.5 kJ/mol of formula units.

=====

No. 12
Density functional theory data (PBE-GGA) for a geometry-optimized LiNdMg2Cd4 structure.

Lattice parameters (Å, degrees): 4.9241 4.9241 9.1173 74.33 74.33 60.00
Closest atoms and distances in Å follow each position.
Positions (direct):
Mg 0.7519 0.7519 0.7443  7 Cd 2.94-3.08
Mg 0.2481 0.2481 0.2557  7 Cd 2.94-3.08
Cd 0.6108 0.6108 0.1675  1 Li 2.88, 3 Mg 2.94, 3 Nd 3.19
Cd 0.8695 0.8695 0.3915  3 Li 2.99, 4 Mg 3.06-3.08
Cd 0.1305 0.1305 0.6085  3 Li 2.99, 4 Mg 3.06-3.08
Cd 0.3892 0.3892 0.8325  1 Li 2.88, 3 Mg 2.94, 3 Nd 3.19
Li 0.5000 0.5000 0.5000  8 Cd 2.88-2.99
Nd 0.0000 0.0000 0.0000  8 Cd 3.19-3.39

Computed properties:
The value obtained for the volume is 182 Å³ per cell. The calculated formation energy is -186.7 kJ/mol of formula units.